A relaxed structure of TaHg2Cl, computed with GGA-PBEsol.

Cell lengths 3.0886, 4.4589, 5.8391 Å; angles 90.00, 105.34, 90.00 degrees
Closest atoms and distances in Å follow each position.
Sites, in units of the cell vectors:
Cl1 0.7040 0.5000 0.4080  2 Ta 2.49
Hg1 0.0665 0.0000 0.1330  3 Ta 2.98-3.07, 6 Hg 3.09-3.14, 4 Cl 3.12
Hg2 0.4263 0.5000 0.8526  3 Cl 2.94-3.13, 4 Ta 3.05, 6 Hg 3.09-3.14
Ta1 0.8019 0.0000 0.6038  2 Cl 2.49

Properties
Formation energy without anion corrections = 61 meV per atom
Crystal system = orthorhombic
Polymorph energy (0 for the lowest one) = 0 kJ/mol of formula units

***

A relaxed structure of CsY2TePt, computed with GGA-PBEsol.

Cell lengths 5.5617, 5.5617, 6.5065 Å; angles 90.00, 90.00, 90.00 degrees
Closest atoms and distances in Å follow each position.
Sites, in units of the cell vectors:
Cs1 0.0000 0.0000 0.5000  2 Te 3.25
Y1 0.0000 0.5000 0.0000  2 Te 2.78
Y2 0.5000 0.0000 0.0000  2 Te 2.78
Te1 0.0000 0.0000 0.0000  4 Y 2.78
Pt1 0.5000 0.5000 0.5000  4 Cs 3.93, 8 Y 4.28

Properties
Formation energy without anion corrections = 502 meV per atom
Crystal system = tetragonal

***

A relaxed structure of Li3Ni2, computed with GGA-PBEsol.

Cell lengths 2.4048, 4.4302, 11.6758 Å; angles 88.40, 84.09, 74.25 degrees
Closest atoms and distances in Å follow each position.
Sites, in units of the cell vectors:
Li1 0.5005 0.9472 0.2034  5 Li 2.40-2.58, 3 Ni 2.57-2.64
Li2 0.6511 0.0528 0.7966  5 Li 2.40-2.58, 3 Ni 2.57-2.64
Li3 0.4539 0.4472 0.2966  5 Li 2.40-2.58, 3 Ni 2.57-2.64
Li4 0.1977 0.5528 0.7034  5 Li 2.40-2.58, 3 Ni 2.57-2.64
Li5 0.9987 0.0000 0.0000  4 Li 2.40-2.58, 6 Ni 2.47-2.64
Li6 0.7487 0.5000 0.5000  4 Li 2.40-2.58, 6 Ni 2.47-2.64
Ni1 0.1452 0.4725 0.0870  4 Ni 2.36-2.40, 6 Li 2.47-2.64
Ni2 0.7046 0.5275 0.9130  4 Ni 2.36-2.40, 6 Li 2.47-2.64
Ni3 0.9821 0.9725 0.4130  4 Ni 2.36-2.40, 6 Li 2.47-2.64
Ni4 0.3676 0.0275 0.5870  4 Ni 2.36-2.40, 6 Li 2.47-2.64

Properties
Energy relative to the elements = 0.0519 eV/atom
Crystal system = orthorhombic

***

A relaxed structure of CaYOs2, computed with GGA-PBEsol.

Cell lengths 2.9360, 4.5080, 5.9630 Å; angles 90.00, 98.90, 90.00 degrees
Closest atoms and distances in Å follow each position.
Sites, in units of the cell vectors:
Ca1 0.0000 0.5000 0.5000  2 Ca 2.94, 4 Os 3.07, 2 Y 3.11
Os1 0.7254 0.0000 0.8030  4 Os 2.64-2.94, 2 Y 2.67
Os2 0.2746 0.0000 0.1970  4 Os 2.64-2.94, 2 Y 2.67
Y1 0.5000 0.5000 0.0000  4 Os 2.67, 2 Y 2.94

Properties
Energy relative to the elements = 0.4801 eV/atom
Crystal system = monoclinic

***

A relaxed structure of BaSr3Ir, computed with GGA-PBEsol.

Cell lengths 6.9997, 7.2835, 8.5486 Å; angles 90.12, 90.00, 90.00 degrees
Closest atoms and distances in Å follow each position.
Sites, in units of the cell vectors:
Sr1 0.9879 0.0737 0.1148  2 Ir 2.96-2.99
Sr2 0.4989 0.4272 0.1143  2 Ir 2.95-2.96
Sr3 0.4879 0.9263 0.8852  2 Ir 2.96-2.99
Sr4 0.4733 0.9230 0.3598  1 Ir 2.87
Sr5 0.9989 0.5728 0.8857  2 Ir 2.95-2.96
Sr6 0.9733 0.0770 0.6402  1 Ir 2.87
Ir1 0.2415 0.7482 0.1266  5 Sr 2.87-2.99, 1 Ba 2.88
Ir2 0.7415 0.2518 0.8734  5 Sr 2.87-2.99, 1 Ba 2.88
Ba1 0.5113 0.4174 0.6333  1 Ir 2.88
Ba2 0.0113 0.5826 0.3667  1 Ir 2.88

Properties
Energy relative to the elements = -0.1161 eV/atom
Crystal system = monoclinic
Polymorph energy (0 for the lowest one) = 0 kJ/mol of formula units

***

A relaxed structure of TlInTe4, computed with GGA-PBEsol.

Cell lengths 6.4297, 6.4297, 6.4297 Å; angles 60.00, 60.00, 60.00 degrees
Closest atoms and distances in Å follow each position.
Sites, in units of the cell vectors:
In1 0.0000 0.0000 0.0000  12 Te 3.77, 4 Tl 3.94
Te1 0.3749 0.3749 0.3749  6 Te 3.21-3.22
Te2 0.3749 0.3749 0.8754  6 Te 3.21-3.22
Te3 0.8754 0.3749 0.3749  6 Te 3.21-3.22
Te4 0.3749 0.8754 0.3749  6 Te 3.21-3.22
Tl1 0.7500 0.7500 0.7500  12 Te 3.77, 4 In 3.94

Properties
Formation energy without anion corrections = 103 meV per atom
Crystal system = cubic

***

Which calculated total energy belongs to each record? In order, -3.8621 -4.5135 -3.5911 -7.8666 -3.6147 -3.1828 eV/atom.
Which magnetic moment belongs to each record? In order, 0.000 0.001 0.000 0.000 0.000 0.000 μB per atom.